Record 1
# Np3ScAg3S8 PBE relaxed
data_Np3ScAg3S8
_cell_length_a 12.921
_cell_length_b 7.991
_cell_length_c 7.607
_cell_angle_alpha 90.00
_cell_angle_beta 121.75
_cell_angle_gamma 90.00
_symmetry_space_group_name_H-M 'C 1 2/m 1'
_symmetry_Int_Tables_number 12
loop_
_symmetry_equiv_pos_as_xyz
'x,y,z'
'-x,-y,-z'
'-x,y,-z'
'x,-y,z'
'x+1/2,y+1/2,z'
'-x+1/2,-y+1/2,-z'
'-x+1/2,y+1/2,-z'
'x+1/2,-y+1/2,z'
loop_
_atom_site_label
_atom_site_type_symbol
_atom_site_fract_x
_atom_site_fract_y
_atom_site_fract_z
Np1 Np 0.000 0.000 0.000
Np2 Np 0.250 0.250 0.500
Sc1 Sc 0.000 0.500 0.000
Ag1 Ag 0.000 0.500 0.500
Ag2 Ag 0.250 0.250 0.000
S1 S 0.003 0.259 0.238
S2 S 0.239 0.500 0.245
S3 S 0.246 0.000 0.254
# * total energy: -6.8016 eV per atom
# * total moment: 11.00 μB/f.u.
# * calculated volume: 668 Å³/cell

***

Record 2
# NpSc3Ag3S8 PBE relaxed
data_NpSc3Ag3S8
_cell_length_a 13.138
_cell_length_b 7.652
_cell_length_c 7.628
_cell_angle_alpha 90.00
_cell_angle_beta 124.97
_cell_angle_gamma 90.00
_symmetry_space_group_name_H-M 'C 1 2/m 1'
_symmetry_Int_Tables_number 12
loop_
_symmetry_equiv_pos_as_xyz
'x,y,z'
'-x,-y,-z'
'-x,y,-z'
'x,-y,z'
'x+1/2,y+1/2,z'
'-x+1/2,-y+1/2,-z'
'-x+1/2,y+1/2,-z'
'x+1/2,-y+1/2,z'
loop_
_atom_site_label
_atom_site_type_symbol
_atom_site_fract_x
_atom_site_fract_y
_atom_site_fract_z
Np1 Np 0.000 0.000 0.000
Sc1 Sc 0.000 0.500 0.000
Sc2 Sc 0.250 0.250 0.500
Ag1 Ag 0.000 0.000 0.500
Ag2 Ag 0.250 0.250 0.000
S1 S 0.009 0.258 0.247
S2 S 0.243 0.500 0.258
S3 S 0.249 0.000 0.268
# * total energy: -6.0788 eV per atom
# * total moment: 3.00 μB/f.u.
# * calculated volume: 628 Å³/cell

***

Record 3
# Sm3NpAg3S8 PBE relaxed
data_Sm3NpAg3S8
_cell_length_a 12.975
_cell_length_b 8.226
_cell_length_c 7.706
_cell_angle_alpha 90.00
_cell_angle_beta 120.54
_cell_angle_gamma 90.00
_symmetry_space_group_name_H-M 'C 1 2/m 1'
_symmetry_Int_Tables_number 12
loop_
_symmetry_equiv_pos_as_xyz
'x,y,z'
'-x,-y,-z'
'-x,y,-z'
'x,-y,z'
'x+1/2,y+1/2,z'
'-x+1/2,-y+1/2,-z'
'-x+1/2,y+1/2,-z'
'x+1/2,-y+1/2,z'
loop_
_atom_site_label
_atom_site_type_symbol
_atom_site_fract_x
_atom_site_fract_y
_atom_site_fract_z
Sm1 Sm 0.000 0.000 0.000
Sm2 Sm 0.250 0.250 0.500
Np1 Np 0.000 0.500 0.000
Ag1 Ag 0.000 0.500 0.500
Ag2 Ag 0.250 0.250 0.000
S1 S 0.001 0.258 0.240
S2 S 0.241 0.500 0.244
S3 S 0.250 0.000 0.252
# * total energy: -5.8317 eV per atom
# * total moment: 3.00 μB/f.u.
# * calculated volume: 708 Å³/cell

***

Record 4
# Sr2NpAgS5 PBE relaxed
data_Sr2NpAgS5
_cell_length_a 4.075
_cell_length_b 17.317
_cell_length_c 12.653
_cell_angle_alpha 90.00
_cell_angle_beta 90.00
_cell_angle_gamma 90.00
_symmetry_space_group_name_H-M 'C m c 21'
_symmetry_Int_Tables_number 36
loop_
_symmetry_equiv_pos_as_xyz
'x,y,z'
'-x,-y,z+1/2'
'-x,y,z'
'x,-y,z+1/2'
'x+1/2,y+1/2,z'
'-x+1/2,-y+1/2,z+1/2'
'-x+1/2,y+1/2,z'
'x+1/2,-y+1/2,z+1/2'
loop_
_atom_site_label
_atom_site_type_symbol
_atom_site_fract_x
_atom_site_fract_y
_atom_site_fract_z
Sr1 Sr 0.000 0.097 0.000
Sr2 Sr 0.000 0.121 0.638
Np1 Np 0.000 0.212 0.346
Ag1 Ag 0.000 0.438 0.765
S1 S 0.000 0.069 0.383
S2 S 0.000 0.278 0.985
S3 S 0.000 0.293 0.709
S4 S 0.000 0.361 0.327
S5 S 0.000 0.496 0.092
# * total energy: -5.8097 eV per atom
# * total moment: 1.99 μB/f.u.
# * calculated volume: 893 Å³/cell

***

D(E_F) for the records above, in order: 58.9; 24.8; 10.9; 17.8 states/eV/cell